Entry 1:
# Gd2MnHg | Alexandria via LeMat-Bulk | PBE-GGA | optimized geometry
# - distance to the lowest polymorph of the same formula (meV/atom) = 57
# - SG = Fm-3m (225)
# - DOS(E_F) (states/eV/f.u.) = 5.0
# - total DFT energy (no corrections) (eV per atom) = -9.52
# - size of the total moment (μB/f.u.) = 11.19
data_Gd2MnHg
_chemical_formula_sum 'Gd2 Mn1 Hg1'
_space_group_name_H-M_alt 'P 1'
_space_group_IT_number 1
_space_group_name_Hall 'P 1'
_cell_length_a 5.196
_cell_length_b 5.196
_cell_length_c 5.196
_cell_angle_alpha 60.00
_cell_angle_beta 60.00
_cell_angle_gamma 60.00
loop_
_atom_site_label
_atom_site_fract_x
_atom_site_fract_y
_atom_site_fract_z
_atom_site_occupancy
Gd1 0.250 0.250 0.250 1
Gd2 0.750 0.750 0.750 1
Mn1 0.000 0.000 0.000 1
Hg1 0.500 0.500 0.500 1



Entry 2:
# Gd3HgN | Alexandria via LeMat-Bulk | PBE-GGA | optimized geometry
# - SG = Pm-3m (221)
# - ΔE_f (raw) (kJ per mole of atoms) = -84.2
# - DOS(E_F) (states/eV/f.u.) = 3.7
# - total DFT energy (no corrections) (eV per atom) = -11.05
# - size of the total moment (μB/f.u.) = 21.87
data_Gd3HgN
_chemical_formula_sum 'Gd3 Hg1 N1'
_space_group_name_H-M_alt 'P 1'
_space_group_IT_number 1
_space_group_name_Hall 'P 1'
_cell_length_a 4.872
_cell_length_b 4.872
_cell_length_c 4.872
_cell_angle_alpha 90.00
_cell_angle_beta 90.00
_cell_angle_gamma 90.00
loop_
_atom_site_label
_atom_site_fract_x
_atom_site_fract_y
_atom_site_fract_z
_atom_site_occupancy
Gd1 0.000 0.000 0.500 1
Gd2 0.000 0.500 0.000 1
Gd3 0.500 0.000 0.000 1
Hg1 0.500 0.500 0.500 1
N1 0.000 0.000 0.000 1



Entry 3:
# Gd2HgN | Alexandria via LeMat-Bulk | PBE-GGA | optimized geometry
# - SG = R-3m (166)
# - ΔE_f (raw) (kJ per mole of atoms) = -91.5
# - DOS(E_F) (states/eV/f.u.) = 3.3
# - total DFT energy (no corrections) (eV per atom) = -10.15
# - size of the total moment (μB/f.u.) = 14.95
data_Gd2HgN
_chemical_formula_sum 'Gd2 Hg1 N1'
_space_group_name_H-M_alt 'P 1'
_space_group_IT_number 1
_space_group_name_Hall 'P 1'
_cell_length_a 8.098
_cell_length_b 8.098
_cell_length_c 8.098
_cell_angle_alpha 25.52
_cell_angle_beta 25.52
_cell_angle_gamma 25.52
loop_
_atom_site_label
_atom_site_fract_x
_atom_site_fract_y
_atom_site_fract_z
_atom_site_occupancy
Gd1 0.225 0.225 0.225 1
Gd2 0.775 0.775 0.775 1
Hg1 0.000 0.000 0.000 1
N1 0.500 0.500 0.500 1